(1)
! Pm2AlZn2Ni5 | the Alexandria database | GGA-PBE | relaxed; values from VASP
! Calculated density   7.800 Mg/m³
&SYSTEM
  ibrav = 0, nat = 20, ntyp = 4
/
ATOMIC_SPECIES
Pm 145.00 Pm.upf
Al 26.98 Al.upf
Zn 65.41 Zn.upf
Ni 58.69 Ni.upf
ATOMIC_POSITIONS angstrom
Pm 1.697 3.074 0.000
Pm 3.074 7.845 0.000
Pm 6.467 1.697 0.000
Pm 7.845 6.467 0.000
Al 0.000 0.000 0.000
Al 4.771 4.771 0.000
Zn 1.148 5.919 0.000
Zn 3.622 1.148 0.000
Zn 5.919 8.393 0.000
Zn 8.393 3.622 0.000
Ni 0.000 4.771 1.733
Ni 0.521 7.649 1.733
Ni 1.892 0.521 1.733
Ni 2.879 5.291 1.733
Ni 4.250 2.879 1.733
Ni 4.771 0.000 1.733
Ni 5.291 6.662 1.733
Ni 6.662 4.250 1.733
Ni 7.649 9.021 1.733
Ni 9.021 1.892 1.733
CELL_PARAMETERS angstrom
9.541 0.000 0.000
0.000 9.541 0.000
0.000 0.000 3.467

***

(2)
! PmAl2ZnNi4 | the Alexandria database | GGA-PBE | relaxed; values from VASP
! Calculated density   6.924 Mg/m³
&SYSTEM
  ibrav = 0, nat = 8, ntyp = 4
/
ATOMIC_SPECIES
Pm 145.00 Pm.upf
Al 26.98 Al.upf
Zn 65.41 Zn.upf
Ni 58.69 Ni.upf
ATOMIC_POSITIONS angstrom
Pm 0.000 0.000 0.000
Al 0.000 0.000 5.932
Al 0.000 0.000 19.254
Zn 0.000 0.000 12.593
Ni 0.000 0.000 3.314
Ni 0.000 0.000 10.220
Ni 0.000 0.000 14.967
Ni 0.000 0.000 21.873
CELL_PARAMETERS angstrom
2.029 1.171 8.396
-2.029 1.171 8.396
0.000 -2.343 8.396

***

(3)
! Pr2Al5Ni4 | the Alexandria database | GGA-PBE | relaxed; values from VASP
! Calculated density   5.645 Mg/m³
&SYSTEM
  ibrav = 0, nat = 11, ntyp = 3
/
ATOMIC_SPECIES
Pr 140.91 Pr.upf
Al 26.98 Al.upf
Ni 58.69 Ni.upf
ATOMIC_POSITIONS angstrom
Pr 2.691 4.689 2.041
Pr 2.691 4.689 13.146
Al 1.345 2.345 0.000
Al 1.345 2.345 3.797
Al 1.345 2.345 7.593
Al 2.691 4.689 7.593
Al 4.036 7.034 11.390
Ni 2.691 3.224 5.613
Ni 2.691 3.224 9.574
Ni 2.691 6.155 5.613
Ni 2.691 6.155 9.574
CELL_PARAMETERS angstrom
0.000 4.689 7.593
2.691 0.000 7.593
2.691 4.689 0.000

***

(4)
! Pr3Al7Ni4 | the Alexandria database | GGA-PBE | relaxed; values from VASP
! Calculated density   5.540 Mg/m³
&SYSTEM
  ibrav = 0, nat = 14, ntyp = 3
/
ATOMIC_SPECIES
Pr 140.91 Pr.upf
Al 26.98 Al.upf
Ni 58.69 Ni.upf
ATOMIC_POSITIONS angstrom
Pr 0.000 0.000 0.000
Pr 3.150 0.000 2.369
Pr 6.962 0.000 5.433
Al -2.695 0.000 3.901
Al 0.156 0.000 3.299
Al -0.331 0.000 7.639
Al 3.817 0.000 5.556
Al 6.296 0.000 2.246
Al 10.444 0.000 0.163
Al 9.956 0.000 4.503
Ni -2.731 0.000 6.555
Ni 1.385 0.000 5.568
Ni 8.728 0.000 2.234
Ni 12.844 0.000 1.247
CELL_PARAMETERS angstrom
7.751 -2.097 0.000
7.751 2.097 0.000
-5.390 0.000 7.802

***

(5)
! PrAl12Ni4 | the Alexandria database | GGA-PBE | relaxed; values from VASP
! Calculated density   3.477 Mg/m³
&SYSTEM
  ibrav = 0, nat = 17, ntyp = 3
/
ATOMIC_SPECIES
Pr 140.91 Pr.upf
Al 26.98 Al.upf
Ni 58.69 Ni.upf
ATOMIC_POSITIONS angstrom
Pr 0.000 0.000 0.000
Al 4.371 -1.526 2.437
Al 2.845 1.934 0.000
Al 5.897 1.934 0.000
Al 2.437 4.371 -1.526
Al 1.934 0.000 2.845
Al 4.371 1.526 2.437
Al 0.000 2.845 1.934
Al 2.437 4.371 1.526
Al 1.934 0.000 5.897
Al -1.526 2.437 4.371
Al 1.526 2.437 4.371
Al 0.000 5.897 1.934
Ni 2.186 2.186 -2.186
Ni 2.186 -2.186 2.186
Ni -2.186 2.186 2.186
Ni 2.186 2.186 2.186
CELL_PARAMETERS angstrom
-4.371 4.371 4.371
4.371 -4.371 4.371
4.371 4.371 -4.371

***

(6)
! PrAl8Ni2 | the Alexandria database | GGA-PBE | relaxed; values from VASP
! Calculated density   3.141 Mg/m³
&SYSTEM
  ibrav = 0, nat = 11, ntyp = 3
/
ATOMIC_SPECIES
Pr 140.91 Pr.upf
Al 26.98 Al.upf
Ni 58.69 Ni.upf
ATOMIC_POSITIONS angstrom
Pr 0.000 0.000 0.000
Al 1.393 1.393 2.606
Al 1.393 1.393 5.405
Al 1.393 4.200 2.606
Al 1.393 4.200 5.405
Al 4.200 1.393 2.606
Al 4.200 1.393 5.405
Al 4.200 4.200 2.606
Al 4.200 4.200 5.405
Ni 0.000 2.797 4.005
Ni 2.797 0.000 4.005
CELL_PARAMETERS angstrom
5.594 0.000 0.000
0.000 5.594 0.000
0.000 0.000 8.011

***

(7)
! Pr2AlNi4 | the Alexandria database | GGA-PBE | relaxed; values from VASP
! Calculated density   6.595 Mg/m³
&SYSTEM
  ibrav = 0, nat = 7, ntyp = 3
/
ATOMIC_SPECIES
Pr 140.91 Pr.upf
Al 26.98 Al.upf
Ni 58.69 Ni.upf
ATOMIC_POSITIONS angstrom
Pr 1.911 2.094 2.138
Pr 5.734 6.281 6.413
Al 0.000 0.000 0.000
Ni 3.822 4.187 2.335
Ni 5.177 4.187 4.275
Ni 2.467 4.187 4.275
Ni 3.822 4.187 6.216
CELL_PARAMETERS angstrom
0.000 4.187 4.275
3.822 0.000 4.275
3.822 4.187 0.000

***

(8)
! Pr12AlNi5 | the Alexandria database | GGA-PBE | relaxed; values from VASP
! Calculated density   6.687 Mg/m³
&SYSTEM
  ibrav = 0, nat = 18, ntyp = 3
/
ATOMIC_SPECIES
Pr 140.91 Pr.upf
Al 26.98 Al.upf
Ni 58.69 Ni.upf
ATOMIC_POSITIONS angstrom
Pr 4.826 3.125 -3.008
Pr 2.896 1.810 0.000
Pr 6.756 1.810 0.000
Pr 1.872 4.995 -1.815
Pr 2.954 0.000 3.365
Pr 0.000 1.870 2.172
Pr 4.826 3.125 3.008
Pr 1.872 4.995 1.815
Pr 2.954 0.000 6.995
Pr -1.930 3.185 5.180
Pr 1.930 3.185 5.180
Pr 0.000 1.870 8.188
Al 0.000 0.000 5.180
Ni 0.000 0.000 0.000
Ni 4.826 0.000 1.277
Ni 0.000 3.669 0.000
Ni 0.000 6.321 0.000
Ni 0.000 4.995 3.903
CELL_PARAMETERS angstrom
-4.826 4.995 5.180
4.826 -4.995 5.180
4.826 4.995 -5.180

***

(9)
! Pr2AlNi16 | the Alexandria database | GGA-PBE | relaxed; values from VASP
! Calculated density   8.331 Mg/m³
&SYSTEM
  ibrav = 0, nat = 19, ntyp = 3
/
ATOMIC_SPECIES
Pr 140.91 Pr.upf
Al 26.98 Al.upf
Ni 58.69 Ni.upf
ATOMIC_POSITIONS angstrom
Pr 0.000 0.000 0.000
Pr 0.000 0.000 3.831
Al 0.000 0.000 6.984
Ni 0.000 -2.447 2.080
Ni -2.119 1.224 2.080
Ni -2.080 -1.201 6.030
Ni 0.000 -2.383 5.905
Ni -2.063 1.191 5.905
Ni -1.223 -2.118 8.084
Ni -2.446 0.000 8.084
Ni 2.119 1.224 2.080
Ni 2.080 -1.201 6.030
Ni 0.000 2.402 6.030
Ni 1.223 -2.118 8.084
Ni -1.223 2.119 8.084
Ni 0.000 0.000 9.315
Ni 2.063 1.191 5.905
Ni 2.446 0.000 8.084
Ni 1.223 2.119 8.084
CELL_PARAMETERS angstrom
4.192 2.420 4.086
-4.192 2.420 4.086
0.000 -4.840 4.086

***

(10)
! PrAlNi | the Alexandria database | GGA-PBE | relaxed; values from VASP
! Calculated density   6.478 Mg/m³
&SYSTEM
  ibrav = 0, nat = 3, ntyp = 3
/
ATOMIC_SPECIES
Pr 140.91 Pr.upf
Al 26.98 Al.upf
Ni 58.69 Ni.upf
ATOMIC_POSITIONS angstrom
Pr 0.000 0.000 0.000
Al 0.000 0.000 3.224
Ni 0.000 0.000 7.834
CELL_PARAMETERS angstrom
-1.597 1.597 5.691
1.597 -1.597 5.691
1.597 1.597 -5.691

***

(11)
! Pr2Al5Ni | the Alexandria database | GGA-PBE | relaxed; values from VASP
! Calculated density   4.504 Mg/m³
&SYSTEM
  ibrav = 0, nat = 8, ntyp = 3
/
ATOMIC_SPECIES
Pr 140.91 Pr.upf
Al 26.98 Al.upf
Ni 58.69 Ni.upf
ATOMIC_POSITIONS angstrom
Pr 3.068 0.000 0.000
Pr 0.000 3.068 0.000
Al 1.682 1.682 -2.323
Al 1.386 -1.386 2.332
Al 0.000 0.000 4.352
Al -1.386 1.386 2.332
Al 1.386 1.386 2.332
Ni 0.000 0.000 6.731
CELL_PARAMETERS angstrom
-3.068 3.068 4.655
3.068 -3.068 4.655
3.068 3.068 -4.655

***

(12)
! Pr2AlNi | the Alexandria database | GGA-PBE | relaxed; values from VASP
! Energy above the most stable polymorph in this dataset   0.00 eV/f.u.
! Calculated density   6.309 Mg/m³
&SYSTEM
  ibrav = 0, nat = 4, ntyp = 3
/
ATOMIC_SPECIES
Pr 140.91 Pr.upf
Al 26.98 Al.upf
Ni 58.69 Ni.upf
ATOMIC_POSITIONS angstrom
Pr 0.000 0.000 1.712
Pr 0.000 0.000 5.784
Al 1.796 1.796 3.748
Ni 1.796 1.796 0.000
CELL_PARAMETERS angstrom
3.592 0.000 0.000
0.000 3.592 0.000
0.000 0.000 7.497

***

(13)
! Pr2Al3Ni2 | the Alexandria database | GGA-PBE | relaxed; values from VASP
! Calculated density   5.817 Mg/m³
&SYSTEM
  ibrav = 0, nat = 7, ntyp = 3
/
ATOMIC_SPECIES
Pr 140.91 Pr.upf
Al 26.98 Al.upf
Ni 58.69 Ni.upf
ATOMIC_POSITIONS angstrom
Pr 0.506 0.000 1.691
Pr 6.775 0.000 4.480
Al 3.538 0.000 0.405
Al 3.641 0.000 3.086
Al 3.744 0.000 5.766
Ni -1.081 0.000 4.371
Ni 8.362 0.000 1.801
CELL_PARAMETERS angstrom
5.405 -2.054 0.000
5.405 2.054 0.000
-3.529 0.000 6.172

***

(14)
! PrAl12Ni6 | the Alexandria database | GGA-PBE | relaxed; values from VASP
! Calculated density   4.641 Mg/m³
&SYSTEM
  ibrav = 0, nat = 19, ntyp = 3
/
ATOMIC_SPECIES
Pr 140.91 Pr.upf
Al 26.98 Al.upf
Ni 58.69 Ni.upf
ATOMIC_POSITIONS angstrom
Pr 0.000 0.000 0.000
Al -2.089 -3.618 4.216
Al -4.177 0.000 4.216
Al -1.426 -0.823 2.798
Al 1.426 -0.823 2.798
Al 0.000 1.646 2.798
Al 2.089 -3.618 4.216
Al -2.089 3.618 4.216
Al 0.000 -1.646 5.633
Al -1.426 0.823 5.633
Al 1.426 0.823 5.633
Al 4.177 0.000 4.216
Al 2.089 3.618 4.216
Ni 0.000 -2.715 3.491
Ni -2.351 1.357 3.491
Ni -2.351 -1.357 4.940
Ni 2.351 1.357 3.491
Ni 2.351 -1.357 4.940
Ni 0.000 2.715 4.940
CELL_PARAMETERS angstrom
5.479 3.163 2.811
-5.479 3.163 2.811
0.000 -6.326 2.811

***

(15)
! Pr3AlNi3 | the Alexandria database | GGA-PBE | relaxed; values from VASP
! Energy above the most stable polymorph in this dataset   1.58 eV/f.u.
! Calculated density   6.754 Mg/m³
&SYSTEM
  ibrav = 0, nat = 7, ntyp = 3
/
ATOMIC_SPECIES
Pr 140.91 Pr.upf
Al 26.98 Al.upf
Ni 58.69 Ni.upf
ATOMIC_POSITIONS angstrom
Pr -1.993 -1.151 1.896
Pr 1.993 -1.151 1.896
Pr 0.000 2.301 1.896
Al 0.000 0.000 4.567
Ni -2.127 -1.228 4.723
Ni 2.127 -1.228 4.723
Ni 0.000 2.456 4.723
CELL_PARAMETERS angstrom
4.840 2.794 1.896
-4.840 2.794 1.896
0.000 -5.589 1.896

***

(16)
! PrAlNi | the Alexandria database | GGA-PBE | relaxed; values from VASP
! Calculated density   6.003 Mg/m³
&SYSTEM
  ibrav = 0, nat = 12, ntyp = 3
/
ATOMIC_SPECIES
Pr 140.91 Pr.upf
Al 26.98 Al.upf
Ni 58.69 Ni.upf
ATOMIC_POSITIONS angstrom
Pr -0.469 0.922 2.712
Pr -2.594 2.263 5.935
Pr 4.452 4.106 0.510
Pr 2.327 5.448 3.733
Al -0.879 4.029 3.719
Al 1.245 5.525 0.497
Al 0.612 0.844 5.948
Al 2.737 2.340 2.726
Ni 0.857 3.746 2.052
Ni -1.268 5.808 5.275
Ni 3.125 0.561 1.170
Ni 1.000 2.624 4.393
CELL_PARAMETERS angstrom
6.107 0.000 0.000
0.000 6.370 0.000
-4.250 0.000 6.445

***

(17)
! PrAl7Ni2 | the Alexandria database | GGA-PBE | relaxed; values from VASP
! Calculated density   3.856 Mg/m³
&SYSTEM
  ibrav = 0, nat = 10, ntyp = 3
/
ATOMIC_SPECIES
Pr 140.91 Pr.upf
Al 26.98 Al.upf
Ni 58.69 Ni.upf
ATOMIC_POSITIONS angstrom
Pr 0.000 0.000 0.000
Al 1.927 1.337 2.206
Al 4.202 1.765 0.000
Al 1.927 -1.337 2.206
Al 4.202 0.000 2.206
Al 6.477 1.337 2.206
Al 4.202 -1.765 0.000
Al 6.477 -1.337 2.206
Ni 4.202 2.434 2.206
Ni 4.202 -2.434 2.206
CELL_PARAMETERS angstrom
4.202 -5.194 0.000
4.202 5.194 0.000
0.000 0.000 4.411

***

(18)
! Pr3Al3Ni2 | the Alexandria database | GGA-PBE | relaxed; values from VASP
! Energy above the most stable polymorph in this dataset   0.00 eV/f.u.
! Calculated density   5.812 Mg/m³
&SYSTEM
  ibrav = 0, nat = 16, ntyp = 3
/
ATOMIC_SPECIES
Pr 140.91 Pr.upf
Al 26.98 Al.upf
Ni 58.69 Ni.upf
ATOMIC_POSITIONS angstrom
Pr 2.107 4.915 9.317
Pr 2.107 4.915 13.701
Pr 2.107 1.713 11.509
Pr 2.107 -1.713 3.836
Pr 2.107 -4.915 1.644
Pr 2.107 -4.915 6.028
Al 2.107 1.908 8.197
Al 2.107 1.908 14.821
Al 2.107 1.540 3.836
Al 2.107 -1.540 11.509
Al 2.107 -1.908 0.525
Al 2.107 -1.908 7.148
Ni 2.107 2.977 1.720
Ni 2.107 2.977 5.953
Ni 2.107 -2.977 9.393
Ni 2.107 -2.977 13.626
CELL_PARAMETERS angstrom
2.107 -5.487 0.000
2.107 5.487 0.000
0.000 0.000 15.346

***

(19)
! PrAlNi | the Alexandria database | GGA-PBE | relaxed; values from VASP
! Calculated density   6.325 Mg/m³
&SYSTEM
  ibrav = 0, nat = 9, ntyp = 3
/
ATOMIC_SPECIES
Pr 140.91 Pr.upf
Al 26.98 Al.upf
Ni 58.69 Ni.upf
ATOMIC_POSITIONS angstrom
Pr -1.484 2.570 0.000
Pr 2.967 0.000 0.000
Pr 2.054 3.558 0.000
Al -2.736 4.739 2.058
Al 0.802 1.389 2.058
Al 5.472 0.000 2.058
Ni 0.000 0.000 0.000
Ni 0.000 4.085 2.058
Ni 3.538 2.042 2.058
CELL_PARAMETERS angstrom
7.075 0.000 0.000
-3.538 6.127 0.000
0.000 0.000 4.117

***

(20)
! PrAlNi4 | the Alexandria database | GGA-PBE | relaxed; values from VASP
! Energy above the most stable polymorph in this dataset   1.07 eV/f.u.
! Calculated density   7.281 Mg/m³
&SYSTEM
  ibrav = 0, nat = 12, ntyp = 3
/
ATOMIC_SPECIES
Pr 140.91 Pr.upf
Al 26.98 Al.upf
Ni 58.69 Ni.upf
ATOMIC_POSITIONS angstrom
Pr 1.783 0.000 0.988
Pr 5.350 0.000 5.852
Al 1.783 0.000 4.845
Al 5.350 0.000 1.995
Ni 0.000 0.000 3.420
Ni 0.367 1.883 5.253
Ni 1.783 1.883 3.171
Ni 3.200 1.883 5.253
Ni 3.566 0.000 3.420
Ni 3.933 1.883 1.586
Ni 5.350 1.883 3.668
Ni 6.766 1.883 1.586
CELL_PARAMETERS angstrom
7.133 0.000 0.000
0.000 3.765 0.000
0.000 0.000 6.839

***

| no. | E_form (eV/atom) |
| --- | --- |
| 1 | -0.261 |
| 2 | -0.447 |
| 3 | -0.536 |
| 4 | -0.524 |
| 5 | -0.124 |
| 6 | 0.008 |
| 7 | -0.203 |
| 8 | -0.203 |
| 9 | -0.233 |
| 10 | -0.297 |
| 11 | -0.337 |
| 12 | -0.247 |
| 13 | -0.522 |
| 14 | -0.462 |
| 15 | -0.163 |
| 16 | -0.478 |
| 17 | -0.209 |
| 18 | -0.427 |
| 19 | -0.489 |
| 20 | -0.272 |